(1)
First-principles (GGA-PBE) data for LiBrN2 after structural relaxation, as listed in the Alexandria database.

Calculated values
E above lowest polymorph	2631	meV/atom
calculated total energy	-3.17	eV per atom
D(E_F)	2.0	states/eV/cell
SG	Fm-3m, No. 225

abc: 3.964 3.964 3.964
angles: 60.00 60.00 60.00
Fractional coordinates of all 4 atoms:
1 N 0.250 0.250 0.250
2 Li 0.000 0.000 0.000
3 Br 0.500 0.500 0.500
4 N 0.750 0.750 0.750

(2)
First-principles (GGA-PBE) data for LiBr2N2 after structural relaxation, as listed in the Alexandria database.

Calculated values
E above lowest polymorph	1587	meV/atom
calculated total energy	-3.26	eV per atom
D(E_F)	8.2	states/eV/cell
SG	P4/mbm, No. 127

abc: 6.947 6.947 3.531
angles: 90.00 90.00 90.00
Fractional coordinates of all 10 atoms:
1 Li 0.500 0.500 0.000
2 Br 0.175 0.675 0.500
3 N 0.228 0.272 0.000
4 N 0.772 0.728 0.000
5 Br 0.675 0.825 0.500
6 Br 0.825 0.325 0.500
7 N 0.728 0.228 0.000
8 N 0.272 0.772 0.000
9 Li 0.000 0.000 0.000
10 Br 0.325 0.175 0.500

(3)
First-principles (GGA-PBE) data for Li3BrN after structural relaxation, as listed in the Alexandria database.

Calculated values
E above lowest polymorph	48	meV/atom
calculated total energy	-3.68	eV per atom
D(E_F)	0.5	states/eV/cell
SG	Pmmm, No. 47

abc: 3.563 4.035 5.534
angles: 90.00 90.00 90.00
Last column: magnetic moment on the atom in μB.
Fractional coordinates of all 5 atoms:
1 Li 0.500 0.500 0.293  0.02
2 N 0.000 0.500 0.500  0.56
3 Li 0.500 0.500 0.707  0.02
4 Li 0.000 0.000 0.500  -0.01
5 Br 0.500 0.000 0.000  0.04

(4)
First-principles (GGA-PBE) data for LiBr2N2 after structural relaxation, as listed in the Alexandria database.

Calculated values
E above lowest polymorph	0	meV/atom
calculated total energy	-4.85	eV per atom
SG	C2/m, No. 12

abc: 4.599 3.954 11.907
angles: 110.42 90.00 125.56
Last column: magnetic moment on the atom in μB.
Fractional coordinates of all 5 atoms:
1 N 0.963 0.926 0.535  0.00
2 Br 0.293 0.585 0.884  0.37
3 Li 0.000 0.000 0.000  0.00
4 N 0.037 0.074 0.465  0.00
5 Br 0.707 0.415 0.116  0.37

(5)
First-principles (GGA-PBE) data for Li4BrN after structural relaxation, as listed in the Alexandria database.

Calculated values
calculated total energy	-3.67	eV per atom
SG	P2_1/c, No. 14

abc: 5.066 6.841 5.848
angles: 103.71 90.00 90.00
Fractional coordinates of all 12 atoms:
1 Li 0.265 0.437 0.721
2 Li 0.765 0.563 0.779
3 N 0.000 0.500 0.500
4 Li 0.117 0.774 0.591
5 Li 0.883 0.226 0.409
6 Li 0.235 0.437 0.221
7 Li 0.617 0.226 0.909
8 Li 0.383 0.774 0.091
9 Br 0.500 0.000 0.500
10 N 0.500 0.500 0.000
11 Br 0.000 0.000 0.000
12 Li 0.735 0.563 0.279

(6)
First-principles (GGA-PBE) data for Li4Br3N2 after structural relaxation, as listed in the Alexandria database.

Calculated values
calculated total energy	-4.21	eV per atom
D(E_F)	3.2	states/eV/cell
SG	C2/c, No. 15

abc: 7.322 8.045 9.005
angles: 116.53 108.16 90.00
Last column: magnetic moment on the atom in μB.
Fractional coordinates of all 18 atoms:
1 Br 0.632 0.060 0.746  0.00
2 Li 0.415 0.780 0.452  0.02
3 N 0.512 0.438 0.518  0.23
4 N 0.012 0.079 0.518  0.23
5 Br 0.750 0.587 0.000  0.00
6 Br 0.250 0.413 0.000  0.00
7 Li 0.915 0.671 0.452  0.02
8 Br 0.132 0.686 0.746  0.00
9 N 0.488 0.562 0.482  0.23
10 N 0.988 0.921 0.482  0.23
11 Br 0.368 0.940 0.254  0.00
12 Li 0.585 0.220 0.548  0.02
13 Li 0.564 0.303 0.014  0.00
14 Li 0.436 0.697 0.986  0.00
15 Li 0.064 0.711 0.014  0.00
16 Li 0.936 0.289 0.986  0.00
17 Br 0.868 0.314 0.254  0.00
18 Li 0.085 0.329 0.548  0.02

(7)
First-principles (GGA-PBE) data for LiBrNO2 after structural relaxation, as listed in the Alexandria database.

Calculated values
calculated total energy	-3.20	eV per atom
D(E_F)	4.4	states/eV/cell
SG	P4/mmm, No. 123

abc: 3.552 3.552 5.690
angles: 90.00 90.00 90.00
Last column: magnetic moment on the atom in μB.
Fractional coordinates of all 5 atoms:
1 Br 0.500 0.500 0.500  -0.04
2 O 0.500 0.000 0.000  -1.18
3 N 0.000 0.000 0.500  0.87
4 O 0.000 0.500 0.000  -1.18
5 Li 0.000 0.000 0.000  0.01

(8)
First-principles (GGA-PBE) data for LiBrN2O after structural relaxation, as listed in the Alexandria database.

Calculated values
calculated total energy	-3.17	eV per atom
D(E_F)	2.8	states/eV/cell
SG	P4/mmm, No. 123

abc: 4.193 4.193 3.602
angles: 90.00 90.00 90.00
Last column: magnetic moment on the atom in μB.
Fractional coordinates of all 5 atoms:
1 N 0.500 0.000 0.000  1.28
2 O 0.000 0.000 0.500  1.02
3 Br 0.500 0.500 0.500  -0.04
4 Li 0.000 0.000 0.000  0.01
5 N 0.000 0.500 0.000  1.28

calculated total energy of number 3 (Li3BrN)?
-3.68 eV per atom